Entry 1:
This record from the Alexandria database describes a geometry-optimized MgSc2Ni2 structure. The functional is GGA-PBE.

Cell: 7.5860 7.5860 7.5860 Å, 152.37 152.37 39.47°
Element x y z (fractional)
Mg 0.0000 0.0000 0.0000
Sc 0.3771 0.3771 0.0000
Sc 0.6229 0.6229 0.0000
Ni 0.2500 0.7500 0.5000
Ni 0.7500 0.2500 0.5000

Computed properties:
The value obtained for the calculated formation energy is -103 meV per atom. The calculation puts the total energy at -5.267 eV per atom.


Entry 2:
This record from the Alexandria database describes a geometry-optimized CsScTcIr2 structure. The functional is GGA-PBE.

Cell: 4.9756 4.9756 4.9015 Å, 90.00 90.00 90.00°
Element x y z (fractional)
Cs 0.0000 0.0000 0.0000
Sc 0.5000 0.5000 0.5000
Tc 0.0000 0.0000 0.5000
Ir 0.0000 0.5000 0.0000
Ir 0.5000 0.0000 0.0000

Computed properties:
The value obtained for the calculated formation energy is 2505 meV per atom. The calculation puts the total energy at -4.549 eV per atom.


Entry 3:
This record from the Alexandria database describes a geometry-optimized CdAg2Bi structure. The functional is GGA-PBE.

Cell: 3.5630 3.5630 7.0078 Å, 90.00 90.00 90.00°
Element x y z (fractional)
Cd 0.0000 0.0000 0.0000
Ag 0.5000 0.5000 0.2159
Ag 0.5000 0.5000 0.7841
Bi 0.0000 0.0000 0.5000

Computed properties:
The value obtained for the calculated formation energy is 35 meV per atom. The calculation puts the total energy at -2.590 eV per atom.